A relaxed structure of MgAs2, computed with PBEsol.

Properties
Space group: C2/m (12)
Raw total energy, eV per formula unit: -12.38
Energy of formation, meV/atom: -151.0

POSCAR file:
```
MgAs2
1.0
-3.485 0.518 0.246
1.879 -1.315 4.040
1.425 8.585 2.110
As Mg
4 2
direct
0.162 0.324 0.951 As
0.525 0.050 0.632 As
0.838 0.676 0.049 As
0.475 0.950 0.368 As
0.816 0.632 0.729 Mg
0.184 0.368 0.271 Mg
```

A relaxed structure of Mg3As2, computed with PBEsol.

Properties
Space group: Ia-3 (206)
Raw total energy, eV per formula unit: -18.39
Energy of formation, meV/atom: -604.9

POSCAR file:
```
Mg3As2
1.0
-3.289 9.884 -2.473
-1.729 -6.521 -8.313
-5.442 -3.547 8.510
As Mg
16 24
direct
0.750 0.523 0.773 As
0.477 0.727 0.750 As
0.227 0.250 0.477 As
0.500 0.500 0.000 As
0.023 0.773 0.250 As
0.000 0.000 0.000 As
0.523 0.273 0.250 As
0.773 0.750 0.523 As
0.000 0.500 0.500 As
0.500 0.000 0.500 As
0.250 0.477 0.227 As
0.727 0.250 0.977 As
0.250 0.977 0.727 As
0.977 0.227 0.750 As
0.273 0.750 0.023 As
0.750 0.023 0.273 As
0.766 0.525 0.032 Mg
0.734 0.766 0.759 Mg
0.259 0.734 0.266 Mg
0.968 0.993 0.234 Mg
0.241 0.507 0.475 Mg
0.025 0.759 0.993 Mg
0.266 0.032 0.507 Mg
0.234 0.475 0.968 Mg
0.266 0.234 0.241 Mg
0.493 0.025 0.259 Mg
0.759 0.493 0.525 Mg
0.993 0.734 0.468 Mg
0.032 0.007 0.766 Mg
0.734 0.968 0.493 Mg
0.525 0.532 0.266 Mg
0.475 0.468 0.734 Mg
0.007 0.266 0.532 Mg
0.532 0.766 0.025 Mg
0.741 0.266 0.734 Mg
0.468 0.234 0.975 Mg
0.507 0.975 0.741 Mg
0.234 0.741 0.766 Mg
0.766 0.259 0.234 Mg
0.975 0.241 0.007 Mg
```

Number 1: calculated volume 22.65 Å³ per atom. Number 2: calculated volume 23.62 Å³ per atom.